[1]
## Sr3CuHg (PBE-GGA)

Data for a geometry-optimized Sr3CuHg structure.

a = 8.8351 Å, b = 4.4822 Å, c = 9.4057 Å
α = 90.00°, β = 107.97°, γ = 90.00°
With the nearest neighbours (Å) after each atom.
Fractional positions:
Sr: 0.0817 0.2500 0.2397  3 Cu 3.16-3.32, 2 Hg 3.46
Sr: 0.3082 0.2500 0.9340  3 Hg 3.38-3.53, 1 Cu 3.54
Sr: 0.3401 0.7500 0.5872  3 Cu 3.26-3.39, 3 Hg 3.48-3.60
Sr: 0.6599 0.2500 0.4128  3 Cu 3.26-3.39, 3 Hg 3.48-3.60
Sr: 0.6918 0.7500 0.0660  3 Hg 3.38-3.53, 1 Cu 3.54
Sr: 0.9183 0.7500 0.7603  3 Cu 3.16-3.32, 2 Hg 3.46
Cu: 0.0456 0.2500 0.5638  2 Cu 2.55
Cu: 0.9544 0.7500 0.4362  2 Cu 2.55
Hg: 0.3704 0.7500 0.2145  8 Sr 3.38-3.60
Hg: 0.6296 0.2500 0.7855  8 Sr 3.38-3.60

Values from the calculation:
- ΔE_f (eV/atom) = -0.2546
- size of the total moment (μB per formula unit) = 0.0
- E_tot (eV per atom) = -2.14


[2]
## YTeAuI2 (PBE-GGA)

Data for a geometry-optimized YTeAuI2 structure.

a = 5.8641 Å, b = 5.8641 Å, c = 6.1069 Å
α = 90.00°, β = 90.00°, γ = 90.00°
With the nearest neighbours (Å) after each atom.
Fractional positions:
Y: 0.0000 0.0000 0.0000  4 I 2.93, 2 Te 3.05
Te: 0.0000 0.0000 0.5000  2 Y 3.05
Au: 0.5000 0.5000 0.5000  4 Te 4.15, 8 I 4.23
I: 0.0000 0.5000 0.0000  2 Y 2.93
I: 0.5000 0.0000 0.0000  2 Y 2.93

Values from the calculation:
- size of the total moment (μB per formula unit) = 0.0
- E_tot (eV per atom) = -3.45


Number 1: energy relative to the lowest polymorph listed for this composition 0 meV per atom, DOS at the Fermi energy 0.781 states/eV per atom. Number 2: energy relative to the lowest polymorph listed for this composition 0 meV per atom, DOS at the Fermi energy 0.373 states/eV per atom.